A plane-wave DFT calculation with PBE was carried out for a geometry-optimized YScCrAu2 structure.

The space group is P4/mmm (No. 123) and the conventional cell measures 5.024, 5.024 and 4.351 Å, with angles of 90.00, 90.00 and 90.00 degrees. Symmetry generates all atoms from Y at (0.000, 0.000, 0.000), Sc at (0.500, 0.500, 0.000), Cr at (0.500, 0.500, 0.500) and Au at (0.000, 0.500, 0.500).

For the energy relative to the elements, the calculation gives 0.13 eV per atom. The value obtained for the total magnetic moment is 0.0001 μB per atom. Its density of states at the Fermi level is 1.12 states/eV/atom.

***

A plane-wave DFT calculation with PBE was carried out for a geometry-optimized CrAuSe2 structure.

The space group is P4/mmm (No. 123) and the conventional cell measures 3.183, 3.183 and 7.172 Å, with angles of 90.00, 90.00 and 90.00 degrees. Symmetry generates all atoms from Cr at (0.000, 0.000, 0.000), Au at (0.000, 0.000, 0.500) and Se at (0.500, 0.500, 0.204).

The value obtained for the total magnetic moment is 0.6252 μB per atom. Its density of states at the Fermi level is 0.43 states/eV/atom. The formation energy without anion corrections comes out at 0.1158 eV per atom.

***

Copy entry 1 word for word.
A plane-wave DFT calculation with PBE was carried out for a geometry-optimized YScCrAu2 structure.

The space group is P4/mmm (No. 123) and the conventional cell measures 5.024, 5.024 and 4.351 Å, with angles of 90.00, 90.00 and 90.00 degrees. Symmetry generates all atoms from Y at (0.000, 0.000, 0.000), Sc at (0.500, 0.500, 0.000), Cr at (0.500, 0.500, 0.500) and Au at (0.000, 0.500, 0.500).

For the energy relative to the elements, the calculation gives 0.13 eV per atom. The value obtained for the total magnetic moment is 0.0001 μB per atom. Its density of states at the Fermi level is 1.12 states/eV/atom.